## GdCoSO (GGA+U)

Data for a relaxed GdCoSO crystal.

The total energy is -5.93 eV per atom. For the distance to the lowest polymorph of the same formula, the calculation gives 500 meV/atom. Its magnetization is 12.58 μB/cell.

The structure in CIF format:
```
data_GdCoSO
_chemical_formula_sum 'Gd6 Co6 S6 O6'
_space_group_name_H-M_alt 'R -3 m'
_space_group_IT_number 166
_space_group_name_Hall '-R 3 2"'
_cell_length_a 3.9169
_cell_length_b 3.9169
_cell_length_c 36.2159
_cell_angle_alpha 90.00
_cell_angle_beta 90.00
_cell_angle_gamma 120.00
loop_
_atom_site_label
_atom_site_type_symbol
_atom_site_fract_x
_atom_site_fract_y
_atom_site_fract_z
_atom_site_occupancy
Gd1 Gd 0.0000 0.0000 0.2413 1
Co1 Co 0.0000 0.0000 0.3589 1
S1 S 0.0000 0.0000 0.1275 1
O1 O 0.0000 0.0000 0.3022 1
```